Record 1
Material: NdLuGePt
Method: DFT, GGA-PBE
State: optimized geometry

Properties
* SG: F-43m, No. 216
* ΔE_f: -878 meV/atom

a b c (Å): 5.049 5.049 5.049
angles (deg): 60.00 60.00 60.00
Fractional coordinates of all 4 atoms:
Ge (0.500, 0.500, 0.500)
Lu (0.250, 0.250, 0.250)
Nd (0.750, 0.750, 0.750)
Pt (0.000, 0.000, 0.000)

Record 2
Material: NdLuZnGe
Method: DFT, GGA-PBE
State: optimized geometry

Properties
* SG: F-43m, No. 216
* ΔE_f: -492 meV/atom

a b c (Å): 5.059 5.059 5.059
angles (deg): 60.00 60.00 60.00
Fractional coordinates of all 4 atoms:
Ge (0.250, 0.250, 0.250)
Lu (0.000, 0.000, 0.000)
Nd (0.500, 0.500, 0.500)
Zn (0.750, 0.750, 0.750)

Record 3
Material: LuNiGe
Method: DFT, GGA-PBE
State: optimized geometry

Properties
* SG: F-43m, No. 216
* ΔE_f: -621 meV/atom

a b c (Å): 4.292 4.292 4.292
angles (deg): 60.00 60.00 60.00
Fractional coordinates of all 3 atoms:
Ni (0.250, 0.250, 0.250)
Ge (0.000, 0.000, 0.000)
Lu (0.500, 0.500, 0.500)

Record 4
Material: LuNiGe
Method: DFT, GGA-PBE
State: optimized geometry

Properties
* SG: I4mm, No. 107
* ΔE_f: -423 meV/atom

a b c (Å): 3.193 3.193 5.538
angles (deg): 106.76 106.76 90.00
Fractional coordinates of all 3 atoms:
Ni (0.259, 0.259, 0.518)
Ge (0.647, 0.647, 0.295)
Lu (0.944, 0.944, 0.887)

Calculated total energy values (in eV per formula unit) by entry order: -23.46; -17.15; -16.78; -16.19.